w.
Density functional theory data (PBE) for a geometry-optimized Ho2TmSb structure.

a b c (Å): 3.9331 3.9331 9.8645
angles (deg): 78.50 78.50 60.00
Each line ends with the local moment (μB).
Positions (direct):
Sb: 0.0000 0.0000 0.0000  0.01
Tm: 0.5000 0.5000 0.5000  0.39
Ho: 0.2654 0.2654 0.2038  0.12
Ho: 0.7346 0.7346 0.7962  0.12

Summary:
Density of states at the Fermi level: 5.0 states/eV/cell

=====

x.
Density functional theory data (PBE) for a geometry-optimized Ho2TmSb structure.

a b c (Å): 4.1137 4.1137 6.6233
angles (deg): 90.00 90.00 90.00
Positions (direct):
Sb: 0.5000 0.5000 0.0000
Tm: 0.5000 0.5000 0.5000
Ho: 0.0000 0.0000 0.7632
Ho: 0.0000 0.0000 0.2368

Summary:
Density of states at the Fermi level: 3.9 states/eV/cell

=====

x is the most stable structure; the next one sits 213 meV per atom above it.